A plane-wave DFT calculation with GGA+U was carried out for a geometry-optimized Ca2CrF6 structure.

Cell lengths 5.813, 5.451, 10.960 Å; angles 90.00, 118.97, 90.00 degrees
Sites, in units of the cell vectors:
1 Ca 0.185 0.034 0.193
2 Ca 0.185 0.466 0.693
3 Ca 0.815 0.534 0.307
4 Ca 0.815 0.966 0.807
5 Cr 0.500 0.000 0.000
6 Cr 0.500 0.500 0.500
7 F 0.163 0.746 0.833
8 F 0.163 0.754 0.333
9 F 0.177 0.166 0.989
10 F 0.177 0.334 0.489
11 F 0.486 0.180 0.830
12 F 0.486 0.320 0.330
13 F 0.514 0.680 0.670
14 F 0.514 0.820 0.170
15 F 0.823 0.666 0.511
16 F 0.823 0.834 0.011
17 F 0.837 0.246 0.667
18 F 0.837 0.254 0.167

Computed properties:
Distance to the lowest polymorph of the same formula = 10 meV/atom
N(E_F) = 0.000 states/eV/atom